This record from Alexandria via LeMat-Bulk describes VReP2Cl after structural relaxation. The functional is PBE-GGA.

a b c (Å): 4.534 4.534 5.184
angles (deg): 90.00 90.00 90.00
Fractional positions:
Re1 0.000 0.000 0.000
Cl1 0.000 0.000 0.500
P1 0.000 0.500 0.000
P2 0.500 0.000 0.000
V1 0.500 0.500 0.500

Summary:
- Space group: P4/mmm
- Distance to the lowest polymorph of the same formula: 0 meV/atom
- Spin magnetization: 0.70 μB/atom
- Formation energy (no corrections): 0.718 eV/atom


This record from Alexandria via LeMat-Bulk describes NbAuSN2 after structural relaxation. The functional is PBE-GGA.

a b c (Å): 3.945 3.945 5.457
angles (deg): 90.00 90.00 90.00
Fractional positions:
Nb1 0.000 0.000 0.000
Au1 0.500 0.500 0.500
S1 0.000 0.000 0.500
N1 0.000 0.500 0.000
N2 0.500 0.000 0.000

Summary:
- Space group: P4/mmm
- Distance to the lowest polymorph of the same formula: 0 meV/atom
- Spin magnetization: 0.14 μB/atom
- Formation energy (no corrections): 0.504 eV/atom


This record from Alexandria via LeMat-Bulk describes Tl2SnSbOs after structural relaxation. The functional is PBE-GGA.

a b c (Å): 5.695 5.719 5.695
angles (deg): 90.00 90.00 90.00
Fractional positions:
Sb1 0.000 0.000 0.000
Tl1 0.000 0.000 0.500
Tl2 0.500 0.000 0.000
Os1 0.500 0.500 0.500
Sn1 0.000 0.500 0.000

Summary:
- Space group: P4/mmm
- Spin magnetization: 0.49 μB/atom
- Formation energy (no corrections): 1.713 eV/atom


This record from Alexandria via LeMat-Bulk describes Hf3CdRh4 after structural relaxation. The functional is PBE-GGA.

a b c (Å): 4.601 4.601 7.981
angles (deg): 73.25 73.25 60.00
Fractional positions:
Rh1 0.870 0.870 0.390
Rh2 0.382 0.382 0.854
Rh3 0.130 0.130 0.610
Rh4 0.618 0.618 0.146
Hf1 0.255 0.255 0.236
Hf2 0.745 0.745 0.764
Hf3 0.500 0.500 0.500
Cd1 0.000 0.000 0.000

Summary:
- Space group: R-3m
- Energy of formation from the pure elements: -78 kJ/mol of atoms
- Spin magnetization: 0.00 μB/atom